[1]
## Cs3NdEr3Te8 (PBE)

Data for an optimized crystal structure of Cs3NdEr3Te8.

Magnetization: 0.00 Bohr magnetons per cell
V: 41.7 Å³ per atom
SG: C2/m
Formation energy (no corrections): -1317 meV per atom
DOS(E_F): 7.73 states/eV/f.u.

Cell lengths 8.8731, 8.8766, 10.5166 Å; angles 115.02, 90.00, 119.99 degrees
Closest atoms and distances in Å follow each position.
Sites, in units of the cell vectors:
Te (0.7190, 0.9561, 0.6925)  2 Er 3.07-3.08, 1 Nd 3.19
Te (0.7630, 0.5260, 0.3075)  2 Er 3.07, 1 Nd 3.19
Te (0.2370, 0.4740, 0.6925)  2 Er 3.07, 1 Nd 3.19
Te (0.7629, 0.0439, 0.3075)  2 Er 3.07-3.08, 1 Nd 3.19
Te (0.2371, 0.9561, 0.6925)  2 Er 3.07-3.08, 1 Nd 3.19
Te (0.7296, 0.4592, 0.6884)  3 Er 3.09
Te (0.2704, 0.5408, 0.3116)  3 Er 3.09
Te (0.2810, 0.0439, 0.3075)  2 Er 3.07-3.08, 1 Nd 3.19
Cs (0.5000, 0.5000, 0.0000)  6 Te 3.84-3.85
Cs (0.0000, 0.5000, 0.0000)  6 Te 3.84-3.85
Cs (0.0000, 0.0000, 0.0000)  6 Te 3.84-3.85
Er (0.5000, 0.5000, 0.5000)  6 Te 3.07-3.09
Er (0.0000, 0.5000, 0.5000)  6 Te 3.07-3.09
Er (0.5000, 0.0000, 0.5000)  6 Te 3.07-3.09
Nd (0.0000, 0.0000, 0.5000)  6 Te 3.19

---

[2]
## Pr8YMg2 (PBE)

Data for an optimized crystal structure of Pr8YMg2.

Magnetization: 0.00 Bohr magnetons per cell
V: 33.7 Å³ per atom
SG: C2/m
Distance to the lowest polymorph of the same formula: 0 meV per atom
Formation energy from the elements: 0.0039 eV per atom
DOS(E_F): 16.13 states/eV/f.u.

Cell lengths 5.2214, 8.3291, 9.3873 Å; angles 108.04, 106.15, 90.00 degrees
Closest atoms and distances in Å follow each position.
Sites, in units of the cell vectors:
Pr (0.8584, 0.8012, 0.7169)  3 Mg 3.45-3.50, 7 Pr 3.64-3.68, 2 Y 3.65
Pr (0.6845, 0.9374, 0.3690)  1 Mg 3.41, 8 Pr 3.45-3.77, 1 Y 3.53
Pr (0.0499, 0.7346, 0.0998)  1 Mg 3.55, 9 Pr 3.59-3.74, 2 Y 3.71
Pr (0.4046, 0.5387, 0.8092)  3 Mg 3.51-3.55, 1 Y 3.67, 8 Pr 3.67-3.77
Pr (0.3155, 0.0626, 0.6310)  1 Mg 3.41, 8 Pr 3.45-3.77, 1 Y 3.53
Pr (0.9501, 0.2654, 0.9002)  1 Mg 3.55, 9 Pr 3.59-3.74, 2 Y 3.71
Pr (0.5954, 0.4613, 0.1908)  3 Mg 3.51-3.55, 1 Y 3.67, 8 Pr 3.67-3.77
Pr (0.1416, 0.1988, 0.2831)  3 Mg 3.45-3.50, 7 Pr 3.64-3.68, 2 Y 3.65
Y (0.5000, 0.0000, 0.0000)  12 Pr 3.53-3.71
Mg (0.2266, 0.6338, 0.4532)  8 Pr 3.41-3.55, 2 Mg 3.70
Mg (0.7734, 0.3662, 0.5468)  8 Pr 3.41-3.55, 2 Mg 3.70

---

no.,total DFT energy (no corrections) (eV per formula unit)
1,-65.91
2,-47.85